Entry from OQMD via LeMat-Bulk: a relaxed Cu2SF3 crystal (GGA-PBE).

Geometry as CIF:
```
data_Cu2SF3
_chemical_formula_sum 'Cu2 S1 F3'
_symmetry_space_group_name_H-M 'P 1 m 1'
_symmetry_Int_Tables_number 6
_symmetry_space_group_name_Hall 'P -2y'
_cell_length_a 4.5035
_cell_length_b 3.3405
_cell_length_c 5.3975
_cell_angle_alpha 90.00
_cell_angle_beta 100.54
_cell_angle_gamma 90.00
loop_
_atom_site_label
_atom_site_type_symbol
_atom_site_fract_x
_atom_site_fract_y
_atom_site_fract_z
Cu1 Cu 0.0000 0.0000 0.0000
Cu2 Cu 0.4011 0.5000 0.5528
S1 S 0.2693 0.5000 0.9159
F1 F 0.1732 0.0000 0.3751
F2 F 0.5942 0.5000 0.1517
F3 F 0.7013 0.0000 0.6813
```

E above lowest polymorph in eV per atom: 0.0399

Entry from OQMD via LeMat-Bulk: a relaxed CuSF crystal (GGA-PBE).

Geometry as CIF:
```
data_CuSF
_chemical_formula_sum 'Cu2 S2 F2'
_symmetry_space_group_name_H-M 'P 1 2/m 1'
_symmetry_Int_Tables_number 10
_symmetry_space_group_name_Hall '-P 2y'
_cell_length_a 4.9731
_cell_length_b 3.4012
_cell_length_c 4.9743
_cell_angle_alpha 90.00
_cell_angle_beta 95.26
_cell_angle_gamma 90.00
loop_
_atom_site_label
_atom_site_type_symbol
_atom_site_fract_x
_atom_site_fract_y
_atom_site_fract_z
Cu1 Cu 0.0000 0.0000 0.0000
Cu2 Cu 0.5000 0.5000 0.5000
S1 S 0.1974 0.5000 0.8087
F1 F 0.3176 0.0000 0.3210
```

E above lowest polymorph in eV per atom: 0.2768

Entry from OQMD via LeMat-Bulk: a relaxed Cu2SF3 crystal (GGA-PBE).

Geometry as CIF:
```
data_Cu2SF3
_chemical_formula_sum 'Cu2 S1 F3'
_symmetry_space_group_name_H-M 'P 1 m 1'
_symmetry_Int_Tables_number 6
_symmetry_space_group_name_Hall 'P -2y'
_cell_length_a 4.8162
_cell_length_b 3.1421
_cell_length_c 4.8486
_cell_angle_alpha 90.00
_cell_angle_beta 91.92
_cell_angle_gamma 90.00
loop_
_atom_site_label
_atom_site_type_symbol
_atom_site_fract_x
_atom_site_fract_y
_atom_site_fract_z
Cu1 Cu 0.0000 0.0000 0.0000
Cu2 Cu 0.4711 0.5000 0.5290
S1 S 0.7829 0.5000 0.2215
F1 F 0.1849 0.5000 0.8126
F2 F 0.2896 0.0000 0.3210
F3 F 0.6760 0.0000 0.7139
```

E above lowest polymorph in eV per atom: 0.0000

Entry from OQMD via LeMat-Bulk: a relaxed Cu2S3F crystal (GGA-PBE).

Geometry as CIF:
```
data_Cu2S3F
_chemical_formula_sum 'Cu2 S3 F1'
_symmetry_space_group_name_H-M 'P 1 m 1'
_symmetry_Int_Tables_number 6
_symmetry_space_group_name_Hall 'P -2y'
_cell_length_a 5.2203
_cell_length_b 3.4283
_cell_length_c 5.2445
_cell_angle_alpha 90.00
_cell_angle_beta 91.94
_cell_angle_gamma 90.00
loop_
_atom_site_label
_atom_site_type_symbol
_atom_site_fract_x
_atom_site_fract_y
_atom_site_fract_z
Cu1 Cu 0.0000 0.0000 0.0000
Cu2 Cu 0.4657 0.5000 0.4653
S1 S 0.2896 0.0000 0.6747
S2 S 0.6715 0.0000 0.2854
S3 S 0.7911 0.5000 0.7876
F1 F 0.1646 0.5000 0.1666
```

E above lowest polymorph in eV per atom: 0.1504